(1)
The following is a DFT calculation (GGA-PBE) of an optimized crystal structure of SbP2Os.

Formation energy without anion corrections, meV per atom: 206.4
Energy, eV/atom: -6.3366

Cell lengths 8.332, 8.332, 8.332 Å; angles 22.11, 22.11, 22.11 degrees
Fractional coordinates of all 4 atoms:
P (0.018, 0.018, 0.018)
P (0.482, 0.482, 0.482)
Os (0.750, 0.750, 0.750)
Sb (0.250, 0.250, 0.250)

***

(2)
The following is a DFT calculation (GGA-PBE) of an optimized crystal structure of Tc2TePt.

Formation energy without anion corrections, meV per atom: 328.2
Energy, eV/atom: -7.1504

Cell lengths 9.538, 9.538, 9.538 Å; angles 17.59, 17.59, 17.59 degrees
Fractional coordinates of all 4 atoms:
Te (0.505, 0.505, 0.505)
Tc (0.996, 0.996, 0.996)
Pt (0.742, 0.742, 0.742)
Tc (0.257, 0.257, 0.257)

***

(3)
The following is a DFT calculation (GGA-PBE) of an optimized crystal structure of Sc4Pa.

Polymorph energy (0 for the lowest one), eV/atom: 0.000
Formation enthalpy at 0 K, meV/atom: 14
Energy, eV/atom: -6.9506

Cell lengths 3.295, 3.296, 13.488 Å; angles 75.84, 90.00, 119.99 degrees
Site moments in Bohr magnetons follow the coordinates.
Fractional coordinates of all 5 atoms:
Sc (0.267, 0.534, 0.600)  0.06
Sc (0.535, 0.069, 0.199)  0.00
Sc (0.733, 0.466, 0.400)  0.06
Pa (0.000, 0.000, 0.000)  -0.01
Sc (0.465, 0.931, 0.801)  0.00

***

(4)
The following is a DFT calculation (GGA-PBE) of an optimized crystal structure of La2Tb2Mg15.

Formation enthalpy at 0 K, meV/atom: -27
Energy, eV/atom: -2.2918

Cell lengths 7.972, 7.972, 7.972 Å; angles 83.51, 83.51, 83.51 degrees
Fractional coordinates of all 19 atoms:
Tb (0.901, 0.901, 0.901)
La (0.333, 0.333, 0.333)
Mg (0.644, 0.644, 0.156)
Mg (0.295, 0.000, 0.705)
Mg (0.705, 0.295, 0.000)
Mg (0.705, 0.000, 0.295)
Tb (0.099, 0.099, 0.099)
Mg (0.000, 0.295, 0.705)
Mg (0.844, 0.356, 0.356)
Mg (0.156, 0.644, 0.644)
Mg (0.000, 0.000, 0.500)
Mg (0.644, 0.156, 0.644)
Mg (0.000, 0.705, 0.295)
Mg (0.356, 0.844, 0.356)
Mg (0.295, 0.705, 0.000)
Mg (0.000, 0.500, 0.000)
Mg (0.356, 0.356, 0.844)
Mg (0.500, 0.000, 0.000)
La (0.667, 0.667, 0.667)

***

(5)
The following is a DFT calculation (GGA-PBE) of an optimized crystal structure of KScHg2.

Polymorph energy (0 for the lowest one), eV/atom: 0.354
Formation enthalpy at 0 K, meV/atom: 129
Energy, eV/atom: -1.8789

Cell lengths 5.165, 5.165, 5.165 Å; angles 60.00, 60.00, 60.00 degrees
Fractional coordinates of all 4 atoms:
Sc (0.750, 0.750, 0.750)
K (0.500, 0.500, 0.500)
Hg (0.250, 0.250, 0.250)
Hg (0.000, 0.000, 0.000)

***

(6)
The following is a DFT calculation (GGA-PBE) of an optimized crystal structure of Er3Cd2Pd4.

Formation enthalpy at 0 K, meV/atom: -703
Energy, eV/atom: -4.7350

Cell lengths 4.396, 5.257, 9.118 Å; angles 90.02, 89.97, 114.62 degrees
Fractional coordinates of all 9 atoms:
Pd (0.926, 0.852, 0.374)
Cd (0.666, 0.333, 0.783)
Pd (0.074, 0.148, 0.626)
Pd (0.301, 0.602, 0.912)
Er (0.634, 0.267, 0.389)
Pd (0.699, 0.398, 0.088)
Er (0.366, 0.733, 0.611)
Er (0.000, 0.000, 0.000)
Cd (0.334, 0.667, 0.217)

***

(7)
The following is a DFT calculation (GGA-PBE) of an optimized crystal structure of Ho8ScIn2.

Formation enthalpy at 0 K, meV/atom: -37
Energy, eV/atom: -4.4398

Cell lengths 5.527, 8.704, 8.704 Å; angles 119.53, 102.41, 102.41 degrees
Fractional coordinates of all 11 atoms:
Ho (0.878, 0.677, 0.904)
Sc (0.500, 0.000, 0.000)
Ho (0.702, 0.393, 0.393)
In (0.000, 0.694, 0.306)
In (0.000, 0.306, 0.694)
Ho (0.298, 0.607, 0.607)
Ho (0.122, 0.323, 0.096)
Ho (0.500, 0.789, 0.211)
Ho (0.878, 0.904, 0.677)
Ho (0.500, 0.211, 0.789)
Ho (0.122, 0.096, 0.323)

***

(8)
The following is a DFT calculation (GGA-PBE) of an optimized crystal structure of V4H3.

Polymorph energy (0 for the lowest one), eV/atom: 0.015
Energy, eV/atom: -6.7932

Cell lengths 2.926, 4.461, 5.428 Å; angles 117.03, 105.64, 90.00 degrees
Fractional coordinates of all 7 atoms:
H (0.000, 0.000, 0.000)
H (0.743, 0.731, 0.486)
V (0.617, 0.891, 0.233)
V (0.125, 0.424, 0.251)
H (0.257, 0.269, 0.514)
V (0.383, 0.109, 0.767)
V (0.875, 0.576, 0.749)